Below is crystalline KHg2Au at its relaxed geometry, with properties calculated at the PBE level.

It has space group R3m (No. 160, hexagonal axes), with a = 4.9490 Å, b = 4.9490 Å, c = 17.3697 Å, α = 90.00°, β = 90.00° and γ = 120.00°. The distinct sites, in fractional coordinates, are K at (0.0000, 0.0000, 0.0000), Hg at (0.0000, 0.0000, 0.2098), Hg at (0.0000, 0.0000, 0.4550) and Au at (0.0000, 0.0000, 0.8009).

The crystal system is trigonal. The energy above the most stable polymorph in this dataset is 40 meV per atom. The calculation puts the formation energy at -0.223 eV per atom.